# PmGdDyMg PBE optimized geometry
# SG: F-43m, No. 216
# Total moment: 7.80 μB per formula unit
# ρ: 6.70 g cm⁻³
# Uncorrected energy: -6.19 eV per atom
# Crystal system: cubic
# Formation enthalpy at 0 K: 0.0656 eV per atom
data_PmGdDyMg
_chemical_formula_sum 'Pm1 Gd1 Dy1 Mg1'
_cell_length_a 5.554
_cell_length_b 5.554
_cell_length_c 5.554
_cell_angle_alpha 60.00
_cell_angle_beta 60.00
_cell_angle_gamma 60.00
_space_group_name_H-M_alt 'P 1'
_space_group_IT_number 1
loop_
_space_group_symop_operation_xyz
'x,y,z'
loop_
_atom_site_label
_atom_site_type_symbol
_atom_site_fract_x
_atom_site_fract_y
_atom_site_fract_z
_atom_site_occupancy
Pm1 Pm 0.000 0.000 0.000 1
Gd1 Gd 0.750 0.750 0.750 1
Dy1 Dy 0.250 0.250 0.250 1
Mg1 Mg 0.500 0.500 0.500 1

=====

# BaPbW3 PBE optimized geometry
# SG: Pm-3m, No. 221
# Total moment: 0.00 μB per formula unit
# ρ: 11.26 g cm⁻³
# ΔE to the lowest computed polymorph: 914 meV/atom
# Uncorrected energy: -5.27 eV per atom
# Crystal system: cubic
# Formation enthalpy at 0 K: 3.6238 eV per atom
data_BaPbW3
_chemical_formula_sum 'Ba1 Pb1 W3'
_cell_length_a 5.093
_cell_length_b 5.093
_cell_length_c 5.093
_cell_angle_alpha 90.00
_cell_angle_beta 90.00
_cell_angle_gamma 90.00
_space_group_name_H-M_alt 'P 1'
_space_group_IT_number 1
loop_
_space_group_symop_operation_xyz
'x,y,z'
loop_
_atom_site_label
_atom_site_type_symbol
_atom_site_fract_x
_atom_site_fract_y
_atom_site_fract_z
_atom_site_occupancy
Ba1 Ba 0.000 0.000 0.000 1
Pb1 Pb 0.500 0.500 0.500 1
W1 W 0.000 0.000 0.500 1
W2 W 0.000 0.500 0.000 1
W3 W 0.500 0.000 0.000 1

=====

# CeZn3Ni2 PBE optimized geometry
# SG: R-3m, No. 166
# Total moment: 0.00 μB per formula unit
# ρ: 7.67 g cm⁻³
# Uncorrected energy: -3.61 eV per atom
# Crystal system: trigonal
# Formation enthalpy at 0 K: -0.0578 eV per atom
data_CeZn3Ni2
_chemical_formula_sum 'Ce2 Zn6 Ni4'
_cell_length_a 6.997
_cell_length_b 6.997
_cell_length_c 6.997
_cell_angle_alpha 51.94
_cell_angle_beta 51.94
_cell_angle_gamma 51.94
_space_group_name_H-M_alt 'P 1'
_space_group_IT_number 1
loop_
_space_group_symop_operation_xyz
'x,y,z'
loop_
_atom_site_label
_atom_site_type_symbol
_atom_site_fract_x
_atom_site_fract_y
_atom_site_fract_z
_atom_site_occupancy
Ce1 Ce 0.236 0.236 0.236 1
Ce2 Ce 0.764 0.764 0.764 1
Zn1 Zn 0.244 0.723 0.723 1
Zn2 Zn 0.277 0.277 0.756 1
Zn3 Zn 0.277 0.756 0.277 1
Zn4 Zn 0.723 0.244 0.723 1
Zn5 Zn 0.723 0.723 0.244 1
Zn6 Zn 0.756 0.277 0.277 1
Ni1 Ni 0.000 0.000 0.000 1
Ni2 Ni 0.000 0.500 0.500 1
Ni3 Ni 0.500 0.000 0.500 1
Ni4 Ni 0.500 0.500 0.000 1